No. 1
NaPrTlBi | PBE | optimized geometry

Output
- Symmetry: No. 216
- Calculated formation energy: -343 meV/atom

Unit cell a=5.558 b=5.558 c=5.558 alpha=60.00 beta=60.00 gamma=60.00
Positions (direct):
Na 0.000 0.000 0.000
Pr 0.500 0.500 0.500
Tl 0.750 0.750 0.750
Bi 0.250 0.250 0.250

---

No. 2
TcAg2IrPt | PBE | optimized geometry

Output
- Symmetry: No. 123
- Calculated formation energy: 1753 meV/atom

Unit cell a=4.969 b=4.969 c=4.532 alpha=90.00 beta=90.00 gamma=90.00
Positions (direct):
Tc 0.000 0.000 0.000
Ag 0.000 0.500 0.000
Ag 0.500 0.000 0.000
Ir 0.000 0.000 0.500
Pt 0.500 0.500 0.500

---

No. 3
Zr2CoBr | PBE | optimized geometry

Output
- Formation energy from raw total energies: 0.64 eV/atom
- Symmetry: No. 216

Unit cell a=4.768 b=4.768 c=4.768 alpha=60.00 beta=60.00 gamma=60.00
Positions (direct):
Zr 0.000 0.000 0.000
Zr 0.250 0.250 0.250
Co 0.500 0.500 0.500
Br 0.750 0.750 0.750

---

No. 4
Ni2OsN2 | PBE | optimized geometry

Output
- Formation energy from raw total energies: 1.40 eV/atom
- Symmetry: No. 127

Unit cell a=6.393 b=6.393 c=2.621 alpha=90.00 beta=90.00 gamma=90.00
Positions (direct):
Ni 0.131 0.369 0.000
Ni 0.369 0.869 0.000
Ni 0.631 0.131 0.000
Ni 0.869 0.631 0.000
Os 0.000 0.000 0.000
Os 0.500 0.500 0.000
N 0.226 0.726 0.500
N 0.274 0.226 0.500
N 0.726 0.774 0.500
N 0.774 0.274 0.500

---

No. 5
PrNdGaRu | PBE | optimized geometry

Output
- Symmetry: No. 216
- Calculated formation energy: -277 meV/atom

Unit cell a=5.125 b=5.125 c=5.125 alpha=60.00 beta=60.00 gamma=60.00
Positions (direct):
Pr 0.000 0.000 0.000
Nd 0.500 0.500 0.500
Ga 0.250 0.250 0.250
Ru 0.750 0.750 0.750

---

No. 6
PuCo4 | PBE | optimized geometry

Output
- Symmetry: No. 221
- Calculated formation energy: 1562 meV/atom

Unit cell a=4.446 b=4.446 c=4.446 alpha=90.00 beta=90.00 gamma=90.00
Positions (direct):
Pu 0.000 0.000 0.000
Co 0.000 0.000 0.500
Co 0.000 0.500 0.000
Co 0.500 0.000 0.000
Co 0.500 0.500 0.500

---

Number 1: DOS(E_F) 3.0 states/eV per cell. Number 2: DOS(E_F) 6.0 states/eV per cell. Number 3: DOS(E_F) 5.0 states/eV per cell. Number 4: DOS(E_F) 8.4 states/eV per cell. Number 5: DOS(E_F) 2.7 states/eV per cell. Number 6: DOS(E_F) 11.4 states/eV per cell.